Entry from Alexandria via LeMat-Bulk: TbPdO2 after structural relaxation (PBE).

The structure in POSCAR format:
```
TbPdO2
1.0
3.517 0.000 0.000
-1.759 3.046 0.000
0.000 0.000 18.467
Tb Pd O
3 3 6
Cartesian
0.000 0.000 0.000
0.000 2.031 12.311
1.759 1.015 6.156
0.000 0.000 9.234
0.000 2.031 3.078
1.759 1.015 15.389
0.000 0.000 7.209
0.000 0.000 11.258
0.000 2.031 1.054
0.000 2.031 5.102
1.759 1.015 13.365
1.759 1.015 17.413
```

Total moment   0.00 μB/cell
Volume   198 Å³ per cell
Density of states at the Fermi level   3.271 states/eV/f.u.
Total energy   -7.06 eV/atom
ΔE_f (raw)   -2.128 eV/atom